Run a
{
  "formula": "RuAu2Cl",
  "functional": "PBE",
  "state": "optimized geometry",
  "total_magnetization_mub_per_cell": 1.862,
  "dos_at_fermi_per_ev_atom": 0.833,
  "lattice": [[1.540, 0.889, 8.683], [-1.540, 0.889, 8.683], [0.000, -1.778, 8.683]],
  "species": ["Ru", "Au", "Au", "Cl"],
  "fractional_positions": [[0.000, 0.000, 0.000], [0.252, 0.252, 0.252], [0.748, 0.748, 0.748], [0.500, 0.500, 0.500]]
}

***

Run b
{
  "formula": "RuAu2Cl",
  "functional": "PBE",
  "state": "optimized geometry",
  "total_magnetization_mub_per_cell": 2.535,
  "dos_at_fermi_per_ev_atom": 0.533,
  "lattice": [[-2.331, 2.331, 3.305], [2.331, -2.331, 3.305], [2.331, 2.331, -3.305]],
  "species": ["Ru", "Au", "Au", "Cl"],
  "fractional_positions": [[0.000, 0.000, 0.000], [0.250, 0.750, 0.500], [0.500, 0.500, 0.000], [0.750, 0.250, 0.500]]
}

***

Run c
{
  "formula": "RuAu2Cl",
  "functional": "PBE",
  "state": "optimized geometry",
  "total_magnetization_mub_per_cell": 1.302,
  "dos_at_fermi_per_ev_atom": 1.185,
  "lattice": [[2.920, 0.000, 0.000], [0.000, 4.568, 0.000], [0.000, 0.000, 5.403]],
  "species": ["Ru", "Au", "Au", "Cl"],
  "fractional_positions": [[0.000, 0.000, 0.000], [0.000, 0.500, 0.500], [0.500, 0.000, 0.500], [0.500, 0.500, 0.000]]
}

***

Run d
{
  "formula": "RuAu2Cl",
  "functional": "PBE",
  "state": "optimized geometry",
  "total_magnetization_mub_per_cell": 1.372,
  "dos_at_fermi_per_ev_atom": 0.796,
  "lattice": [[1.488, -2.569, 0.000], [1.488, 2.569, 0.000], [0.000, 0.000, 9.239]],
  "species": ["Ru", "Au", "Au", "Cl"],
  "fractional_positions": [[0.000, 0.000, 0.000], [0.500, 0.500, 0.248], [0.500, 0.500, 0.752], [0.000, 0.000, 0.500]]
}

***

Most favorable first, least favorable last: run a, run d, run c, run b

***

Run a
{
  "formula": "RuAu2Cl",
  "functional": "PBE",
  "state": "optimized geometry",
  "total_magnetization_mub_per_cell": 2.396,
  "dos_at_fermi_per_ev_atom": 0.552,
  "lattice": [[3.028, 0.000, 0.000], [0.000, 3.028, 0.000], [0.000, 0.000, 7.908]],
  "species": ["Ru", "Au", "Au", "Cl"],
  "fractional_positions": [[0.000, 0.000, 0.000], [0.500, 0.500, 0.233], [0.500, 0.500, 0.767], [0.000, 0.000, 0.500]]
}

***

Run b
{
  "formula": "RuAu2Cl",
  "functional": "PBE",
  "state": "optimized geometry",
  "total_magnetization_mub_per_cell": 2.101,
  "dos_at_fermi_per_ev_atom": 0.826,
  "lattice": [[2.984, 0.000, 0.000], [0.000, 3.066, 0.000], [-0.026, 0.000, 8.107]],
  "species": ["Ru", "Au", "Au", "Cl"],
  "fractional_positions": [[0.000, 0.000, 0.000], [0.498, 0.500, 0.773], [0.502, 0.500, 0.227], [0.500, 0.000, 0.500]]
}

***

Most favorable first, least favorable last: run b, run a

***

Run a
{
  "formula": "RuAu2Cl",
  "functional": "PBE",
  "state": "optimized geometry",
  "total_magnetization_mub_per_cell": 1.322,
  "dos_at_fermi_per_ev_atom": 0.746,
  "lattice": [[4.583, -1.506, 0.000], [4.583, 1.506, 0.000], [-1.154, 0.000, 6.549]],
  "species": ["Ru", "Au", "Au", "Cl"],
  "fractional_positions": [[0.000, 0.000, 0.000], [0.255, 0.255, 0.851], [0.502, 0.502, 0.649], [0.560, 0.560, 0.271]]
}

***

Run b
{
  "formula": "RuAu2Cl",
  "functional": "PBE",
  "state": "optimized geometry",
  "total_magnetization_mub_per_cell": 2.377,
  "dos_at_fermi_per_ev_atom": 0.906,
  "lattice": [[2.965, 0.000, 0.000], [0.000, 2.965, 0.000], [0.000, 0.000, 8.613]],
  "species": ["Ru", "Au", "Au", "Cl"],
  "fractional_positions": [[0.000, 0.000, 0.000], [0.000, 0.000, 0.460], [0.500, 0.500, 0.223], [0.500, 0.500, 0.812]]
}

***

Most favorable first, least favorable last: run a, run b

***

Run a
{
  "formula": "Ru3AuCl",
  "functional": "PBE",
  "state": "optimized geometry",
  "total_magnetization_mub_per_cell": 8.194,
  "dos_at_fermi_per_ev_atom": 1.064,
  "lattice": [[5.014, 0.000, 0.000], [0.000, 5.014, 0.000], [0.000, 0.000, 5.014]],
  "species": ["Ru", "Ru", "Ru", "Au", "Cl"],
  "fractional_positions": [[0.000, 0.000, 0.500], [0.000, 0.500, 0.000], [0.500, 0.000, 0.000], [0.000, 0.000, 0.000], [0.500, 0.500, 0.500]]
}

***

Run b
{
  "formula": "Ru3AuCl",
  "functional": "PBE",
  "state": "optimized geometry",
  "total_magnetization_mub_per_cell": 3.125,
  "dos_at_fermi_per_ev_atom": 1.085,
  "lattice": [[4.372, 0.000, 0.000], [0.000, 4.372, 0.000], [0.000, 0.000, 4.372]],
  "species": ["Ru", "Ru", "Ru", "Au", "Cl"],
  "fractional_positions": [[0.000, 0.000, 0.500], [0.000, 0.500, 0.000], [0.500, 0.000, 0.000], [0.500, 0.500, 0.500], [0.000, 0.000, 0.000]]
}

***

Most favorable first, least favorable last: run b, run a

***

Run a
{
  "formula": "RuAuS2Cl",
  "functional": "PBE",
  "state": "optimized geometry",
  "total_magnetization_mub_per_cell": 4.234,
  "dos_at_fermi_per_ev_atom": 1.005,
  "lattice": [[4.869, 0.000, 0.000], [0.000, 4.869, 0.000], [0.000, 0.000, 4.870]],
  "species": ["Ru", "Au", "S", "S", "Cl"],
  "fractional_positions": [[0.000, 0.000, 0.000], [0.500, 0.500, 0.500], [0.000, 0.500, 0.500], [0.500, 0.000, 0.500], [0.500, 0.500, 0.000]]
}

***

Run b
{
  "formula": "RuAuS2Cl",
  "functional": "PBE",
  "state": "optimized geometry",
  "total_magnetization_mub_per_cell": 0.000,
  "dos_at_fermi_per_ev_atom": 1.053,
  "lattice": [[4.537, 0.000, 0.000], [0.000, 4.537, 0.000], [0.000, 0.000, 5.017]],
  "species": ["Ru", "Au", "S", "S", "Cl"],
  "fractional_positions": [[0.000, 0.000, 0.000], [0.500, 0.500, 0.500], [0.000, 0.500, 0.000], [0.500, 0.000, 0.000], [0.000, 0.000, 0.500]]
}

***

Most favorable first, least favorable last: run b, run a

***

Run a
{
  "formula": "Au2SCl",
  "functional": "PBE",
  "state": "optimized geometry",
  "total_magnetization_mub_per_cell": 0.000,
  "dos_at_fermi_per_ev_atom": 1.776,
  "lattice": [[0.000, 3.346, 3.346], [3.346, 0.000, 3.346], [3.346, 3.346, 0.000]],
  "species": ["Au", "Au", "S", "Cl"],
  "fractional_positions": [[0.250, 0.250, 0.250], [0.750, 0.750, 0.750], [0.000, 0.000, 0.000], [0.500, 0.500, 0.500]]
}

***

Run b
{
  "formula": "Au2SCl",
  "functional": "PBE",
  "state": "optimized geometry",
  "total_magnetization_mub_per_cell": 0.000,
  "dos_at_fermi_per_ev_atom": 0.719,
  "lattice": [[-2.691, 2.691, 6.954], [2.691, -2.691, 6.954], [2.691, 2.691, -6.954]],
  "species": ["Au", "Au", "Au", "Au", "S", "S", "Cl", "Cl"],
  "fractional_positions": [[0.020, 0.625, 0.895], [0.375, 0.270, 0.395], [0.730, 0.125, 0.105], [0.875, 0.980, 0.605], [0.000, 0.000, 0.000], [0.750, 0.250, 0.500], [0.250, 0.750, 0.500], [0.500, 0.500, 0.000]]
}

***

Most favorable first, least favorable last: run b, run a

***

Run a
{
  "formula": "ScAuSCl2",
  "functional": "PBE",
  "state": "optimized geometry",
  "total_magnetization_mub_per_cell": 0.904,
  "dos_at_fermi_per_ev_atom": 1.317,
  "lattice": [[4.949, 0.000, 0.000], [0.000, 4.949, 0.000], [0.000, 0.000, 4.990]],
  "species": ["Sc", "Au", "S", "Cl", "Cl"],
  "fractional_positions": [[0.000, 0.000, 0.000], [0.500, 0.500, 0.500], [0.500, 0.500, 0.000], [0.000, 0.500, 0.500], [0.500, 0.000, 0.500]]
}

***

Run b
{
  "formula": "ScAuSCl2",
  "functional": "PBE",
  "state": "optimized geometry",
  "total_magnetization_mub_per_cell": 0.000,
  "dos_at_fermi_per_ev_atom": 0.126,
  "lattice": [[4.859, 0.000, 0.000], [0.000, 4.859, 0.000], [0.000, 0.000, 5.156]],
  "species": ["Sc", "Au", "S", "Cl", "Cl"],
  "fractional_positions": [[0.000, 0.000, 0.000], [0.500, 0.500, 0.500], [0.000, 0.000, 0.500], [0.000, 0.500, 0.000], [0.500, 0.000, 0.000]]
}

***

Most favorable first, least favorable last: run b, run a

***

Run a
{
  "formula": "TaAuS2Cl",
  "functional": "PBE",
  "state": "optimized geometry",
  "total_magnetization_mub_per_cell": 0.000,
  "dos_at_fermi_per_ev_atom": 0.328,
  "lattice": [[4.796, 0.000, 0.000], [0.000, 4.796, 0.000], [0.000, 0.000, 4.831]],
  "species": ["Ta", "Au", "S", "S", "Cl"],
  "fractional_positions": [[0.000, 0.000, 0.000], [0.500, 0.500, 0.500], [0.000, 0.500, 0.000], [0.500, 0.000, 0.000], [0.000, 0.000, 0.500]]
}

***

Run b
{
  "formula": "TaAuS2Cl",
  "functional": "PBE",
  "state": "optimized geometry",
  "total_magnetization_mub_per_cell": 2.336,
  "dos_at_fermi_per_ev_atom": 1.197,
  "lattice": [[4.866, 0.000, 0.000], [0.000, 4.866, 0.000], [0.000, 0.000, 4.699]],
  "species": ["Ta", "Au", "S", "S", "Cl"],
  "fractional_positions": [[0.000, 0.000, 0.000], [0.500, 0.500, 0.500], [0.000, 0.500, 0.500], [0.500, 0.000, 0.500], [0.500, 0.500, 0.000]]
}

***

Most favorable first, least favorable last: run a, run b

***

Run a
{
  "formula": "TcAuS2Cl",
  "functional": "PBE",
  "state": "optimized geometry",
  "total_magnetization_mub_per_cell": 0.000,
  "dos_at_fermi_per_ev_atom": 0.738,
  "lattice": [[4.537, 0.000, 0.000], [0.000, 4.537, 0.000], [0.000, 0.000, 5.087]],
  "species": ["Tc", "Au", "S", "S", "Cl"],
  "fractional_positions": [[0.000, 0.000, 0.000], [0.500, 0.500, 0.500], [0.000, 0.500, 0.000], [0.500, 0.000, 0.000], [0.000, 0.000, 0.500]]
}

***

Run b
{
  "formula": "TcAuS2Cl",
  "functional": "PBE",
  "state": "optimized geometry",
  "total_magnetization_mub_per_cell": 4.698,
  "dos_at_fermi_per_ev_atom": 0.509,
  "lattice": [[4.894, 0.000, 0.000], [0.000, 4.894, 0.000], [0.000, 0.000, 4.847]],
  "species": ["Tc", "Au", "S", "S", "Cl"],
  "fractional_positions": [[0.000, 0.000, 0.000], [0.500, 0.500, 0.500], [0.000, 0.500, 0.500], [0.500, 0.000, 0.500], [0.500, 0.500, 0.000]]
}

***

Most favorable first, least favorable last: run a, run b

***

Run a
{
  "formula": "VAuSCl2",
  "functional": "PBE",
  "state": "optimized geometry",
  "total_magnetization_mub_per_cell": 3.244,
  "dos_at_fermi_per_ev_atom": 0.395,
  "lattice": [[4.858, 0.000, 0.000], [0.000, 4.858, 0.000], [0.000, 0.000, 5.134]],
  "species": ["V", "Au", "S", "Cl", "Cl"],
  "fractional_positions": [[0.000, 0.000, 0.000], [0.500, 0.500, 0.500], [0.500, 0.500, 0.000], [0.000, 0.500, 0.500], [0.500, 0.000, 0.500]]
}

***

Run b
{
  "formula": "VAuSCl2",
  "functional": "PBE",
  "state": "optimized geometry",
  "total_magnetization_mub_per_cell": 0.059,
  "dos_at_fermi_per_ev_atom": 0.937,
  "lattice": [[4.689, 0.000, 0.000], [0.000, 4.689, 0.000], [0.000, 0.000, 4.623]],
  "species": ["V", "Au", "S", "Cl", "Cl"],
  "fractional_positions": [[0.000, 0.000, 0.000], [0.500, 0.500, 0.500], [0.000, 0.000, 0.500], [0.000, 0.500, 0.000], [0.500, 0.000, 0.000]]
}

***

Most favorable first, least favorable last: run b, run a

***

Run a
{
  "formula": "WAuS2Cl",
  "functional": "PBE",
  "state": "optimized geometry",
  "total_magnetization_mub_per_cell": 0.000,
  "dos_at_fermi_per_ev_atom": 0.814,
  "lattice": [[4.682, 0.000, 0.000], [0.000, 4.682, 0.000], [0.000, 0.000, 4.809]],
  "species": ["W", "Au", "S", "S", "Cl"],
  "fractional_positions": [[0.000, 0.000, 0.000], [0.500, 0.500, 0.500], [0.000, 0.500, 0.000], [0.500, 0.000, 0.000], [0.000, 0.000, 0.500]]
}

***

Run b
{
  "formula": "WAuS2Cl",
  "functional": "PBE",
  "state": "optimized geometry",
  "total_magnetization_mub_per_cell": 3.546,
  "dos_at_fermi_per_ev_atom": 0.981,
  "lattice": [[4.894, 0.000, 0.000], [0.000, 4.894, 0.000], [0.000, 0.000, 4.710]],
  "species": ["W", "Au", "S", "S", "Cl"],
  "fractional_positions": [[0.000, 0.000, 0.000], [0.500, 0.500, 0.500], [0.000, 0.500, 0.500], [0.500, 0.000, 0.500], [0.500, 0.500, 0.000]]
}

***

Most favorable first, least favorable last: run a, run b

***

Run a
{
  "formula": "YAuSCl2",
  "functional": "PBE",
  "state": "optimized geometry",
  "total_magnetization_mub_per_cell": 0.000,
  "dos_at_fermi_per_ev_atom": 0.668,
  "lattice": [[4.994, 0.000, 0.000], [0.000, 4.994, 0.000], [0.000, 0.000, 4.952]],
  "species": ["Y", "Au", "S", "Cl", "Cl"],
  "fractional_positions": [[0.000, 0.000, 0.000], [0.500, 0.500, 0.500], [0.500, 0.500, 0.000], [0.000, 0.500, 0.500], [0.500, 0.000, 0.500]]
}

***

Run b
{
  "formula": "YAuSCl2",
  "functional": "PBE",
  "state": "optimized geometry",
  "total_magnetization_mub_per_cell": 0.000,
  "dos_at_fermi_per_ev_atom": 0.222,
  "lattice": [[5.164, 0.000, 0.000], [0.000, 5.164, 0.000], [0.000, 0.000, 5.434]],
  "species": ["Y", "Au", "S", "Cl", "Cl"],
  "fractional_positions": [[0.000, 0.000, 0.000], [0.500, 0.500, 0.500], [0.000, 0.000, 0.500], [0.000, 0.500, 0.000], [0.500, 0.000, 0.000]]
}

***

Most favorable first, least favorable last: run b, run a

***

Run a
{
  "formula": "Sb2AuCl",
  "functional": "PBE",
  "state": "optimized geometry",
  "total_magnetization_mub_per_cell": 0.000,
  "dos_at_fermi_per_ev_atom": 0.640,
  "lattice": [[3.395, 0.000, 0.000], [0.000, 6.289, 0.000], [-1.696, 0.000, 4.969]],
  "species": ["Sb", "Sb", "Au", "Cl"],
  "fractional_positions": [[0.000, 0.000, 0.000], [0.014, 0.500, 0.036], [0.291, 0.500, 0.591], [0.749, 0.000, 0.503]]
}

***

Run b
{
  "formula": "Sb2AuCl",
  "functional": "PBE",
  "state": "optimized geometry",
  "total_magnetization_mub_per_cell": 0.000,
  "dos_at_fermi_per_ev_atom": 0.343,
  "lattice": [[0.000, 3.551, 3.551], [3.551, 0.000, 3.551], [3.551, 3.551, 0.000]],
  "species": ["Sb", "Sb", "Au", "Cl"],
  "fractional_positions": [[0.250, 0.250, 0.250], [0.750, 0.750, 0.750], [0.000, 0.000, 0.000], [0.500, 0.500, 0.500]]
}

***

Most favorable first, least favorable last: run a, run b